Record 1
Computed, not measured: a relaxed Cs8SI3Cl3 crystal at the PBE-GGA level of DFT.

Lattice parameters (Å, degrees): 10.763 10.763 10.763 57.59 57.59 57.59
Element x y z (fractional)
Cs 0.241 0.241 0.241
Cs 0.258 0.724 0.724
Cs 0.276 0.276 0.742
Cs 0.276 0.742 0.276
Cs 0.724 0.258 0.724
Cs 0.724 0.724 0.258
Cs 0.742 0.276 0.276
Cs 0.759 0.759 0.759
S 0.500 0.500 0.500
I 0.000 0.500 0.500
I 0.500 0.000 0.500
I 0.500 0.500 0.000
Cl 0.000 0.000 0.500
Cl 0.000 0.500 0.000
Cl 0.500 0.000 0.000

Computed properties:
raw total energy: -0.221 Ry/atom
SG: R-3m
calculated volume: 833.0 Å³ per cell
N(E_F): 0.00 states/eV/f.u.
magnetic moment: 0.200 μB per formula unit
energy relative to the elements, uncorrected: -23.9 eV/f.u.

=====

Record 2
Computed, not measured: a relaxed AlV4Cr2 crystal at the PBE-GGA level of DFT.

Lattice parameters (Å, degrees): 10.124 10.124 2.973 90.00 90.00 161.96
Element x y z (fractional)
Al 0.000 0.000 0.000
V 0.147 0.853 0.000
V 0.423 0.577 0.500
V 0.577 0.423 0.500
V 0.853 0.147 0.000
Cr 0.289 0.711 0.500
Cr 0.711 0.289 0.500

Computed properties:
energy of formation from the pure elements: 0.777 eV per formula unit
raw total energy: -0.616 Ry/atom
SG: Cmmm
calculated volume: 94.4 Å³ per cell
N(E_F): 6.27 states/eV/f.u.
magnetic moment: 0.000 μB per formula unit

=====

Record 3
Computed, not measured: a relaxed Ce2MgOs crystal at the PBE-GGA level of DFT.

Lattice parameters (Å, degrees): 8.676 8.676 8.676 26.62 26.62 26.62
Element x y z (fractional)
Ce 0.228 0.228 0.228
Ce 0.772 0.772 0.772
Mg 0.000 0.000 0.000
Os 0.500 0.500 0.500

Computed properties:
energy of formation from the pure elements: 0.079 eV per formula unit
raw total energy: -0.452 Ry/atom
SG: R-3m
calculated volume: 115.6 Å³ per cell
N(E_F): 9.19 states/eV/f.u.
magnetic moment: 1.174 μB per formula unit

=====

Record 4
Computed, not measured: a relaxed TaIr4 crystal at the PBE-GGA level of DFT.

Lattice parameters (Å, degrees): 4.995 4.995 4.995 109.47 109.47 109.47
Element x y z (fractional)
Ta 0.000 0.000 0.000
Ir 0.000 0.000 0.500
Ir 0.000 0.500 0.000
Ir 0.500 0.000 0.000
Ir 0.500 0.500 0.500

Computed properties:
energy of formation from the pure elements: 4.666 eV per formula unit
raw total energy: -0.627 Ry/atom
SG: Im-3m
calculated volume: 95.9 Å³ per cell
N(E_F): 7.65 states/eV/f.u.
magnetic moment: 0.000 μB per formula unit
ΔE to the lowest computed polymorph: 1321 meV/atom

=====

Record 5
Computed, not measured: a relaxed LaTa2Pb crystal at the PBE-GGA level of DFT.

Lattice parameters (Å, degrees): 5.301 5.301 5.301 126.44 126.44 79.16
Element x y z (fractional)
La 0.000 0.000 0.000
Ta 0.500 0.500 0.000
Ta 0.750 0.250 0.500
Pb 0.250 0.750 0.500

Computed properties:
energy of formation from the pure elements: 2.085 eV per formula unit
raw total energy: -0.556 Ry/atom
SG: I-4m2
calculated volume: 93.2 Å³ per cell
N(E_F): 4.92 states/eV/f.u.
magnetic moment: 0.000 μB per formula unit

=====

Record 6
Computed, not measured: a relaxed Sr2ScHg crystal at the PBE-GGA level of DFT.

Lattice parameters (Å, degrees): 6.031 6.031 6.031 127.60 127.60 77.28
Element x y z (fractional)
Sr 0.250 0.750 0.500
Sr 0.750 0.250 0.500
Sc 0.000 0.000 0.000
Hg 0.500 0.500 0.000

Computed properties:
energy of formation from the pure elements: 0.342 eV per formula unit
raw total energy: -0.177 Ry/atom
SG: I4/mmm
calculated volume: 133.6 Å³ per cell
N(E_F): 6.85 states/eV/f.u.
magnetic moment: 0.004 μB per formula unit
ΔE to the lowest computed polymorph: 215 meV/atom

=====

- Which formula does entry 4 have?
  TaIr4

=====

What did the second record say?
Computed, not measured: a relaxed AlV4Cr2 crystal at the PBE-GGA level of DFT.

Lattice parameters (Å, degrees): 10.124 10.124 2.973 90.00 90.00 161.96
Element x y z (fractional)
Al 0.000 0.000 0.000
V 0.147 0.853 0.000
V 0.423 0.577 0.500
V 0.577 0.423 0.500
V 0.853 0.147 0.000
Cr 0.289 0.711 0.500
Cr 0.711 0.289 0.500

Computed properties:
energy of formation from the pure elements: 0.777 eV per formula unit
raw total energy: -0.616 Ry/atom
SG: Cmmm
calculated volume: 94.4 Å³ per cell
N(E_F): 6.27 states/eV/f.u.
magnetic moment: 0.000 μB per formula unit